Here is a relaxed Rb3TlFe2F9 crystal from the Alexandria database. Energies are from GGA+U.

Cell and atoms, written as POSCAR:
```
Rb3TlFe2F9
1.0
6.1430 0.0000 0.0000
-3.0715 5.3200 0.0000
0.0000 0.0000 8.3005
Rb Tl Fe F
3 1 2 9
Cartesian
0.0000 3.5467 5.8303
0.0000 0.0000 0.0000
3.0715 1.7733 2.4701
0.0000 0.0000 4.1502
0.0000 3.5467 1.1919
3.0715 1.7733 7.1086
4.4966 0.9505 6.0331
3.0715 3.4189 6.0331
1.6464 0.9505 6.0331
1.4251 4.3695 2.2673
0.0000 1.9010 2.2673
-1.4251 4.3695 2.2673
3.0715 0.0000 0.0000
-1.5357 2.6600 0.0000
1.5357 2.6600 0.0000
```

Summary:
Mass density (Mg/m³): 4.55
Calculated volume (Å³ per atom): 18.084
Electronic total energy (eV/atom): -4.72